HoLu6Hg: relaxed, GGA-PBE.

Properties
M_tot ... 0.7 μB/cell
Energy of formation from the pure elements ... -24.0 meV/atom
Calculated total energy ... -4.0260 eV/atom

Geometry as CIF:
```
data_HoLu6Hg
_chemical_formula_sum 'Ho1 Lu6 Hg1'
_symmetry_space_group_name_H-M 'P -6 m 2'
_symmetry_Int_Tables_number 187
_symmetry_space_group_name_Hall 'P -6 2'
_cell_length_a 6.9127
_cell_length_b 6.9127
_cell_length_c 5.4648
_cell_angle_alpha 90.00
_cell_angle_beta 90.00
_cell_angle_gamma 120.00
loop_
_atom_site_label
_atom_site_fract_x
_atom_site_fract_y
_atom_site_fract_z
_atom_site_occupancy
Ho1 0.0000 0.0000 0.0000 1
Lu1 0.0010 0.5005 0.0000 1
Lu2 0.3273 0.1636 0.5000 1
Hg1 0.3333 0.6667 0.5000 1
```



Na4Si2AgAu: relaxed, GGA-PBE.

Properties
Calculated total energy ... -2.7437 eV/atom

Geometry as CIF:
```
data_Na4Si2AgAu
_chemical_formula_sum 'Na4 Si2 Ag1 Au1'
_symmetry_space_group_name_H-M 'P -4 m 2'
_symmetry_Int_Tables_number 115
_symmetry_space_group_name_Hall 'P -4 -2'
_cell_length_a 4.716
_cell_length_b 4.716
_cell_length_c 6.663
_cell_angle_alpha 90.00
_cell_angle_beta 90.00
_cell_angle_gamma 90.00
loop_
_atom_site_label
_atom_site_fract_x
_atom_site_fract_y
_atom_site_fract_z
_atom_site_occupancy
Na1 0.000 0.000 0.000 1
Na2 0.000 0.500 0.749 1
Na3 0.500 0.500 0.500 1
Si1 0.000 0.500 0.245 1
Ag1 0.000 0.000 0.500 1
Au1 0.500 0.500 0.000 1
```



> Which of these has the highest calculated total energy?

Na4Si2AgAu